(1)
First-principles (PBE) data for Tb3Pr2Y6Mg after structural relaxation, as listed in Alexandria via LeMat-Bulk.

Lattice parameters (Å, degrees): 6.1787 6.1787 11.8386 95.01 95.01 120.03
Fractional positions:
Tb 0.0000 0.0000 0.0000
Tb 0.3345 0.6655 0.0000
Tb 0.6655 0.3345 0.0000
Pr 0.1662 0.8338 0.5000
Pr 0.8338 0.1662 0.5000
Y 0.0859 0.4167 0.2490
Y 0.2524 0.2524 0.7520
Y 0.4167 0.0859 0.2490
Y 0.5833 0.9141 0.7510
Y 0.7476 0.7476 0.2480
Y 0.9141 0.5833 0.7510
Mg 0.5000 0.5000 0.5000

Output
**DFT total energy**: -63.6 eV/cell
**Symmetry**: C2/m, No. 12
**Energy of formation**: 0.5 kcal/mol of atoms

(2)
First-principles (PBE) data for Pr3Cd4Pb2 after structural relaxation, as listed in Alexandria via LeMat-Bulk.

Lattice parameters (Å, degrees): 6.4294 6.4294 9.4839 111.00 111.00 44.88
Fractional positions:
Pr 0.0000 0.0000 0.0000
Pr 0.3231 0.3231 0.3458
Pr 0.6769 0.6769 0.6542
Cd 0.0073 0.0073 0.3535
Cd 0.2484 0.2484 0.9266
Cd 0.7516 0.7516 0.0734
Cd 0.9927 0.9927 0.6465
Pb 0.3856 0.3856 0.7221
Pb 0.6144 0.6144 0.2779

Output
**DFT total energy**: -29.1 eV/cell
**Symmetry**: C2/m, No. 12
**Energy of formation**: -9.3 kcal/mol of atoms

(3)
First-principles (PBE) data for LiY2PdC after structural relaxation, as listed in Alexandria via LeMat-Bulk.

Lattice parameters (Å, degrees): 4.9432 4.9432 4.1024 90.00 90.00 90.00
Fractional positions:
Li 0.0000 0.0000 0.0000
Y 0.0000 0.5000 0.5000
Y 0.5000 0.0000 0.5000
Pd 0.5000 0.5000 0.0000
C 0.5000 0.5000 0.5000

Output
**DFT total energy**: -30.3 eV/cell
**Distance to the lowest polymorph of the same formula**: 97 meV/atom
**Symmetry**: P4/mmm, No. 123
**Energy of formation**: -5.0 kcal/mol of atoms

(4)
First-principles (PBE) data for TcTeN after structural relaxation, as listed in Alexandria via LeMat-Bulk.

Lattice parameters (Å, degrees): 11.9164 3.3380 3.3380 61.95 90.00 90.00
Fractional positions:
Tc 0.0000 0.0000 0.0000
Tc 0.5000 0.0260 0.0260
Te 0.1573 0.3380 0.3380
Te 0.8427 0.3380 0.3380
N 0.4392 0.6862 0.6862
N 0.5608 0.6862 0.6862

Output
**DFT total energy**: -41.2 eV/cell
**ΔE_f (raw)**: 414.1 meV/atom
**Symmetry**: Amm2, No. 38

(5)
First-principles (PBE) data for InP3S9 after structural relaxation, as listed in Alexandria via LeMat-Bulk.

Lattice parameters (Å, degrees): 9.3941 9.3941 11.7497 124.66 124.66 51.61
Fractional positions:
In 0.2218 0.7782 0.5000
In 0.7782 0.2218 0.0000
P 0.0625 0.2574 0.8401
P 0.2574 0.0625 0.3401
P 0.2956 0.4499 0.6851
P 0.4499 0.2956 0.1851
P 0.6701 0.8458 0.2334
P 0.8458 0.6701 0.7334
S 0.0010 0.5001 0.5820
S 0.0758 0.2669 0.2432
S 0.1160 0.9556 0.3282
S 0.1716 0.4411 0.0458
S 0.2669 0.0758 0.7432
S 0.3355 0.6553 0.7114
S 0.4077 0.4217 0.8824
S 0.4217 0.4077 0.3824
S 0.4411 0.1716 0.5458
S 0.4761 0.8122 0.2503
S 0.5001 0.0010 0.0820
S 0.5870 0.7854 0.5983
S 0.6553 0.3355 0.2114
S 0.7854 0.5870 0.0983
S 0.8122 0.4761 0.7503
S 0.8362 0.9558 0.4323
S 0.9556 0.1160 0.8282
S 0.9558 0.8362 0.9323

Output
**DFT total energy**: -115.8 eV/cell
**ΔE_f (raw)**: -136.4 meV/atom
**Symmetry**: Cc, No. 9

(6)
First-principles (PBE) data for Ho4GaTe3 after structural relaxation, as listed in Alexandria via LeMat-Bulk.

Lattice parameters (Å, degrees): 7.4942 8.6548 7.4313 90.00 109.31 90.00
Fractional positions:
Ho 0.2269 0.1140 0.0019
Ho 0.2269 0.8860 0.5019
Ho 0.2327 0.3531 0.4804
Ho 0.2327 0.6469 0.9804
Ho 0.7673 0.3531 0.0196
Ho 0.7673 0.6469 0.5196
Ho 0.7731 0.1140 0.4981
Ho 0.7731 0.8860 0.9981
Ga 0.0000 0.1214 0.2500
Ga 0.0000 0.8786 0.7500
Te 0.0000 0.3782 0.7500
Te 0.0000 0.6218 0.2500
Te 0.5000 0.1254 0.7500
Te 0.5000 0.3816 0.2500
Te 0.5000 0.6184 0.7500
Te 0.5000 0.8746 0.2500

Output
**DFT total energy**: -80.1 eV/cell
**Distance to the lowest polymorph of the same formula**: 0 meV/atom
**ΔE_f (raw)**: -1160.5 meV/atom
**Symmetry**: P2/c, No. 13

(7)
First-principles (PBE) data for Na4Tm3GaTe8 after structural relaxation, as listed in Alexandria via LeMat-Bulk.

Lattice parameters (Å, degrees): 9.0841 9.0841 9.0841 57.06 57.06 57.06
Fractional positions:
Na 0.0000 0.0000 0.0000
Na 0.0000 0.5000 0.5000
Na 0.5000 0.0000 0.5000
Na 0.5000 0.5000 0.0000
Tm 0.0000 0.0000 0.5000
Tm 0.0000 0.5000 0.0000
Tm 0.5000 0.0000 0.0000
Ga 0.5000 0.5000 0.5000
Te 0.2436 0.2436 0.2436
Te 0.2517 0.7354 0.7354
Te 0.2646 0.2646 0.7483
Te 0.2646 0.7483 0.2646
Te 0.7354 0.2517 0.7354
Te 0.7354 0.7354 0.2517
Te 0.7483 0.2646 0.2646
Te 0.7564 0.7564 0.7564

Output
**DFT total energy**: -63.8 eV/cell
**ΔE_f (raw)**: -1058.3 meV/atom
**Symmetry**: R-3m, No. 166

(8)
First-principles (PBE) data for CrPd2AuBr after structural relaxation, as listed in Alexandria via LeMat-Bulk.

Lattice parameters (Å, degrees): 5.0708 5.0708 4.7102 90.00 90.00 90.00
Fractional positions:
Cr 0.0000 0.0000 0.0000
Pd 0.0000 0.5000 0.5000
Pd 0.5000 0.0000 0.5000
Au 0.0000 0.0000 0.5000
Br 0.5000 0.5000 0.0000

Output
**DFT total energy**: -18.7 eV/cell
**ΔE_f (raw)**: 1256.7 meV/atom
**Symmetry**: P4/mmm, No. 123